(P)
The following is a DFT calculation (PBE) of a relaxed PaP3 crystal.

```
PaP3
1.0
3.860 0.000 0.000
0.000 3.860 0.000
0.000 0.000 9.313
Pa P
2 6
Direct
0.000 0.000 0.000 Pa
0.500 0.500 0.500 Pa
0.000 0.000 0.500 P
0.000 0.500 0.250 P
0.000 0.500 0.750 P
0.500 0.000 0.250 P
0.500 0.000 0.750 P
0.500 0.500 0.000 P
```

Properties
symmetry = I4/mmm, No. 139
size of the total moment = 0.000 μB per atom
DOS at the Fermi energy = 4.0 states/eV/cell



(Q)
The following is a DFT calculation (PBE) of a relaxed PaP3 crystal.

```
PaP3
1.0
5.560 0.000 0.000
-2.780 4.816 0.000
0.000 0.000 5.420
Pa P
2 6
Direct
0.333 0.667 0.250 Pa
0.667 0.333 0.750 Pa
0.189 0.378 0.750 P
0.189 0.811 0.750 P
0.378 0.189 0.250 P
0.622 0.811 0.750 P
0.811 0.189 0.250 P
0.811 0.622 0.250 P
```

Properties
symmetry = P6_3/mmc, No. 194
size of the total moment = 0.000 μB per atom
DOS at the Fermi energy = 7.8 states/eV/cell



Which of them is least stable? Easy: (P).